BaSrAlAu: optimized geometry, GGA-PBE.

Unit cell a=4.6227 b=4.6227 c=8.7066 alpha=90.05 beta=105.34 gamma=120.01
Sites, in units of the cell vectors:
Au1 0.4999 0.6144 0.1143
Al1 0.8363 0.2828 0.1191
Sr1 0.0074 0.8679 0.8753
Ba1 0.3486 0.0393 0.3879

Output
- Electronic total energy: -12.4 eV per formula unit
- Total moment: 0.00 Bohr magnetons per cell
- Crystal system: monoclinic



Er4SN2: optimized geometry, GGA-PBE.

Unit cell a=3.5208 b=6.0581 c=7.0747 alpha=115.21 beta=104.41 gamma=90.00
Sites, in units of the cell vectors:
Er1 0.6425 0.3130 0.2850
Er2 0.3575 0.6870 0.7150
S1 0.0000 0.0000 0.0000
Er3 0.1428 0.8052 0.2856
N1 0.7437 0.7475 0.4873
N2 0.2563 0.2525 0.5127
Er4 0.8572 0.1948 0.7144

Output
- Electronic total energy: -49.4 eV per formula unit
- Uncorrected formation energy: -1.48 eV per atom
- Total moment: 0.00 Bohr magnetons per cell
- Crystal system: monoclinic



NbAl2Rh: optimized geometry, GGA-PBE.

Unit cell a=7.0033 b=7.0033 c=5.6590 alpha=51.77 beta=51.77 gamma=90.00
Sites, in units of the cell vectors:
Rh1 0.0000 0.0000 0.0000
Al1 0.6566 0.1250 0.2500
Nb1 0.5000 0.5000 0.0000
Al2 0.3750 0.3434 0.7500
Al3 0.0934 0.6250 0.2500
Nb2 0.2500 0.7500 0.5000
Rh2 0.7500 0.2500 0.5000
Al4 0.8750 0.9066 0.7500

Output
- Electronic total energy: -25.6 eV per formula unit
- Total moment: 0.00 Bohr magnetons per cell
- Crystal system: tetragonal



CaSmDyLu: optimized geometry, GGA-PBE.

Unit cell a=5.7296 b=5.7296 c=5.7296 alpha=60.00 beta=60.00 gamma=60.00
Sites, in units of the cell vectors:
Ca1 0.2500 0.2500 0.2500
Dy1 0.0000 0.0000 0.0000
Sm1 0.5000 0.5000 0.5000
Lu1 0.7500 0.7500 0.7500

Output
- Electronic total energy: -15.3 eV per formula unit
- Total moment: 0.00 Bohr magnetons per cell
- Crystal system: cubic



Repeat the first record exactly.
BaSrAlAu: optimized geometry, GGA-PBE.

Unit cell a=4.6227 b=4.6227 c=8.7066 alpha=90.05 beta=105.34 gamma=120.01
Sites, in units of the cell vectors:
Au1 0.4999 0.6144 0.1143
Al1 0.8363 0.2828 0.1191
Sr1 0.0074 0.8679 0.8753
Ba1 0.3486 0.0393 0.3879

Output
- Electronic total energy: -12.4 eV per formula unit
- Total moment: 0.00 Bohr magnetons per cell
- Crystal system: monoclinic



Repeat the third record exactly.
NbAl2Rh: optimized geometry, GGA-PBE.

Unit cell a=7.0033 b=7.0033 c=5.6590 alpha=51.77 beta=51.77 gamma=90.00
Sites, in units of the cell vectors:
Rh1 0.0000 0.0000 0.0000
Al1 0.6566 0.1250 0.2500
Nb1 0.5000 0.5000 0.0000
Al2 0.3750 0.3434 0.7500
Al3 0.0934 0.6250 0.2500
Nb2 0.2500 0.7500 0.5000
Rh2 0.7500 0.2500 0.5000
Al4 0.8750 0.9066 0.7500

Output
- Electronic total energy: -25.6 eV per formula unit
- Total moment: 0.00 Bohr magnetons per cell
- Crystal system: tetragonal